Material: Mn2CrMoC
Method: DFT, PBE
State: optimized geometry

Geometry as extended XYZ:
```
5
Lattice="3.790 0.000 0.000 0.000 3.790 0.000 0.000 0.000 3.874" Properties=species:S:1:pos:R:3 pbc="T T T"
Cr 0.000 0.000 1.937
Mo 1.895 1.895 1.937
Mn 0.000 1.895 0.000
Mn 1.895 0.000 0.000
C 0.000 0.000 0.000
```

Values from the calculation:
Space-group type: P4/mmm (123)
Total magnetic moment in μB/f.u.: 1.01
ΔE_f in eV/atom: 0.03
E in eV/atom: -9.569

***

Material: Pr2TmNpP4
Method: DFT, PBE
State: optimized geometry

Geometry as extended XYZ:
```
8
Lattice="-2.955 -1.022 -2.603 0.074 -6.578 2.501 -4.611 3.861 3.719" Properties=species:S:1:pos:R:3 pbc="T T T"
Pr -3.783 1.419 0.558
Pr -2.268 -1.358 3.110
Tm -1.441 -3.800 -0.051
Np 0.000 0.000 0.000
P -2.525 -1.211 0.163
P -4.967 -2.528 3.454
P -3.524 1.302 3.490
P -1.013 -4.019 2.729
```

Values from the calculation:
Space-group type: P2/m (10)
Total magnetic moment in μB/f.u.: 3.58
ΔE_f in eV/atom: -1.36
E in eV/atom: -7.435

***

Material: Dy2Zn3Ru
Method: DFT, PBE
State: optimized geometry

Geometry as extended XYZ:
```
6
Lattice="4.767 0.000 0.000 0.000 5.315 0.000 -2.384 -2.658 4.894" Properties=species:S:1:pos:R:3 pbc="T T T"
Dy 2.384 0.000 2.082
Dy 0.000 2.658 2.812
Zn 0.000 0.000 3.735
Zn 0.000 0.000 0.000
Zn 2.384 2.658 1.159
Ru 0.000 2.658 0.000
```

Values from the calculation:
ΔE to the lowest computed polymorph in kJ/mol of formula units: 144
Space-group type: Immm (71)
Total magnetic moment in μB/f.u.: 0.00
ΔE_f in eV/atom: -0.13
E in eV/atom: -3.850

***

Material: Li2GeAu
Method: DFT, PBE
State: optimized geometry

Geometry as extended XYZ:
```
4
Lattice="3.185 0.000 0.000 0.000 3.185 0.000 0.000 0.000 6.010" Properties=species:S:1:pos:R:3 pbc="T T T"
Ge 1.593 1.593 3.005
Au 1.593 1.593 0.000
Li 0.000 0.000 4.528
Li 0.000 0.000 1.482
```

Values from the calculation:
Space-group type: P4/mmm (123)
Total magnetic moment in μB/f.u.: 0.00
ΔE_f in eV/atom: -0.39
E in eV/atom: -3.318

***

Material: PaMn2Te4
Method: DFT, PBE
State: optimized geometry

Geometry as extended XYZ:
```
14
Lattice="-1.521 8.706 2.301 -8.040 -3.842 -1.986 4.877 -2.573 4.898" Properties=species:S:1:pos:R:3 pbc="T T T"
Pa -2.729 -2.622 1.493
Pa 3.697 -1.973 4.936
Mn -0.302 2.118 4.378
Mn -6.802 1.404 0.914
Mn -2.914 2.751 1.822
Mn 0.848 -1.790 3.304
Te -1.257 6.572 2.964
Te -4.162 0.288 1.135
Te -2.843 3.353 4.477
Te 0.700 4.523 5.607
Te -0.177 3.050 1.685
Te 2.140 0.650 3.992
Te -1.432 -0.298 3.201
Te -5.452 3.708 2.084
```

Values from the calculation:
ΔE_f (raw) in eV/f.u.: -2.3
Space-group type: C2 (5)
Total magnetic moment in μB/f.u.: 9.07
E in eV/atom: -6.095

***

Material: Cr2GaW
Method: DFT, PBE
State: optimized geometry

Geometry as extended XYZ:
```
8
Lattice="-2.303 -5.433 -3.458 6.176 -2.904 0.449 1.240 -5.303 0.742" Properties=species:S:1:pos:R:3 pbc="T T T"
Cr -0.391 -5.165 -1.970
Cr 3.916 -3.739 0.085
Cr 2.291 -7.061 -0.578
Cr 4.411 -11.315 -2.069
Ga 1.937 -4.169 -1.504
Ga 4.677 -6.188 -0.157
W 0.000 0.000 0.000
W 0.437 -7.453 -2.110
```

Values from the calculation:
Space-group type: I-42d (122)
Total magnetic moment in μB/f.u.: 3.15
ΔE_f in eV/atom: 0.85
E in eV/atom: -7.962

***

Computed values of density of states at the Fermi level (unit: states/eV/cell) for the preceding records, in sequence: 5.50, 10.93, 2.80, 1.38, 10.50, 9.62.